1.
VASP calculation (PBE) on a relaxed structure of YTlSCl2.

Values from the calculation:
**Polymorph energy (0 for the lowest one)**: 0.000 eV per atom
**Spin magnetization**: 0.00 μB/f.u.
**Calculated volume**: 30.16 Å³/atom
**Formation energy without anion corrections**: -1594 meV/atom

a b c (Å): 5.344 5.344 5.280
angles (deg): 90.00 90.00 90.00
Space group P4/mmm (No. 123)
Asymmetric unit:
Y 0.000 0.000 0.000 x1
Tl 0.500 0.500 0.500 x1
S 0.000 0.000 0.500 x1
Cl 0.000 0.500 0.000 x2



2.
VASP calculation (PBE) on a relaxed structure of YTlS2Cl.

Values from the calculation:
**Polymorph energy (0 for the lowest one)**: 0.000 eV per atom
**Spin magnetization**: 0.90 μB/f.u.
**Calculated volume**: 30.30 Å³/atom
**Formation energy without anion corrections**: -1146 meV/atom

a b c (Å): 5.301 5.301 5.392
angles (deg): 90.00 90.00 90.00
Space group P4/mmm (No. 123)
Asymmetric unit:
Y 0.000 0.000 0.000 x1
Tl 0.500 0.500 0.500 x1
S 0.000 0.500 0.000 x2
Cl 0.000 0.000 0.500 x1



3.
VASP calculation (PBE) on a relaxed structure of ZrTlS2Cl.

Values from the calculation:
**Polymorph energy (0 for the lowest one)**: 0.169 eV per atom
**Spin magnetization**: 0.00 μB/f.u.
**Calculated volume**: 26.22 Å³/atom
**Formation energy without anion corrections**: -1137 meV/atom

a b c (Å): 5.037 5.037 5.166
angles (deg): 90.00 90.00 90.00
Space group P4/mmm (No. 123)
Asymmetric unit:
Zr 0.000 0.000 0.000 x1
Tl 0.500 0.500 0.500 x1
S 0.000 0.500 0.000 x2
Cl 0.000 0.000 0.500 x1



4.
VASP calculation (PBE) on a relaxed structure of ZrTlSCl2.

Values from the calculation:
**Polymorph energy (0 for the lowest one)**: 0.000 eV per atom
**Spin magnetization**: 0.00 μB/f.u.
**Calculated volume**: 26.51 Å³/atom
**Formation energy without anion corrections**: -1190 meV/atom

a b c (Å): 5.130 5.130 5.036
angles (deg): 90.00 90.00 90.00
Space group P4/mmm (No. 123)
Asymmetric unit:
Zr 0.000 0.000 0.000 x1
Tl 0.500 0.500 0.500 x1
S 0.000 0.000 0.500 x1
Cl 0.000 0.500 0.000 x2



5.
VASP calculation (PBE) on a relaxed structure of ZrTlSCl2.

Values from the calculation:
**Polymorph energy (0 for the lowest one)**: 1.409 eV per atom
**Spin magnetization**: 2.21 μB/f.u.
**Calculated volume**: 29.60 Å³/atom
**Formation energy without anion corrections**: 219 meV/atom

a b c (Å): 5.363 5.363 5.146
angles (deg): 90.00 90.00 90.00
Space group P4/mmm (No. 123)
Asymmetric unit:
Zr 0.000 0.000 0.000 x1
Tl 0.500 0.500 0.500 x1
S 0.500 0.500 0.000 x1
Cl 0.000 0.500 0.500 x2



6.
VASP calculation (PBE) on a relaxed structure of ZrTlS2Cl.

Values from the calculation:
**Polymorph energy (0 for the lowest one)**: 1.668 eV per atom
**Spin magnetization**: 1.65 μB/f.u.
**Calculated volume**: 26.68 Å³/atom
**Formation energy without anion corrections**: 362 meV/atom

a b c (Å): 5.138 5.138 5.054
angles (deg): 90.00 90.00 90.00
Space group P4/mmm (No. 123)
Asymmetric unit:
Zr 0.000 0.000 0.000 x1
Tl 0.500 0.500 0.500 x1
S 0.000 0.500 0.500 x2
Cl 0.500 0.500 0.000 x1



7.
VASP calculation (PBE) on a relaxed structure of ZrTlS2Cl.

Values from the calculation:
**Polymorph energy (0 for the lowest one)**: 0.000 eV per atom
**Spin magnetization**: 0.00 μB/f.u.
**Calculated volume**: 27.62 Å³/atom
**Formation energy without anion corrections**: -1306 meV/atom

a b c (Å): 8.568 3.755 8.887
angles (deg): 90.00 104.98 90.00
Space group P2_1/m (No. 11)
Asymmetric unit:
Zr 0.170 0.250 0.149 x2
Tl 0.317 0.750 0.751 x2
S 0.046 0.250 0.849 x2
S 0.362 0.750 0.126 x2
Cl 0.241 0.250 0.438 x2



8.
VASP calculation (PBE) on a relaxed structure of ZrTl2S2Cl2.

Values from the calculation:
**Spin magnetization**: 0.00 μB/f.u.
**Calculated volume**: 27.90 Å³/atom
**Formation energy without anion corrections**: -1181 meV/atom

a b c (Å): 16.246 3.733 7.165
angles (deg): 90.00 115.98 90.00
Space group C2/m (No. 12)
Asymmetric unit:
Zr 0.000 0.000 0.000 x2
Tl 0.139 0.000 0.638 x4
S 0.000 0.500 0.247 x4
Cl 0.174 0.000 0.173 x4



9.
VASP calculation (PBE) on a relaxed structure of TmSCl.

Values from the calculation:
**Spin magnetization**: 0.00 μB/f.u.
**Calculated volume**: 30.86 Å³/atom
**Formation energy without anion corrections**: -2042 meV/atom

a b c (Å): 13.813 3.933 6.821
angles (deg): 90.00 91.71 90.00
Space group C2/m (No. 12)
Asymmetric unit:
Tm 0.000 0.000 0.000 x2
Tm 0.000 0.500 0.500 x2
S 0.098 0.000 0.682 x4
Cl 0.109 0.500 0.164 x4



10.
VASP calculation (PBE) on a relaxed structure of Tm2SCl.

Values from the calculation:
**Polymorph energy (0 for the lowest one)**: 0.050 eV per atom
**Spin magnetization**: 0.00 μB/f.u.
**Calculated volume**: 21.55 Å³/atom
**Formation energy without anion corrections**: -1474 meV/atom

a b c (Å): 3.6968 3.6968 21.8518
angles (deg): 90.00 90.00 120.00
Space group R-3m (No. 166, hexagonal axes)
Asymmetric unit:
Tm 0.0000 0.0000 0.2356 x6
S 0.0000 0.0000 0.5000 x3
Cl 0.0000 0.0000 0.0000 x3



11.
VASP calculation (PBE) on a relaxed structure of TmSCl.

Values from the calculation:
**Spin magnetization**: 0.00 μB/f.u.
**Calculated volume**: 29.31 Å³/atom
**Formation energy without anion corrections**: -2099 meV/atom

a b c (Å): 3.9535 3.9535 6.4950
angles (deg): 90.00 90.00 120.00
Space group P3m1 (No. 156)
Asymmetric unit:
Tm 0.0000 0.0000 0.0000 x1
S 0.3333 0.6667 0.8087 x1
Cl 0.6667 0.3333 0.2487 x1



12.
VASP calculation (PBE) on a relaxed structure of TmSCl.

Values from the calculation:
**Spin magnetization**: 0.00 μB/f.u.
**Calculated volume**: 30.40 Å³/atom
**Formation energy without anion corrections**: -2099 meV/atom

a b c (Å): 14.613 3.957 6.896
angles (deg): 90.00 113.81 90.00
Space group C2/m (No. 12)
Asymmetric unit:
Tm 0.243 0.000 0.268 x4
S 0.142 0.500 0.327 x4
Cl 0.147 0.000 0.831 x4



13.
VASP calculation (PBE) on a relaxed structure of TmSCl.

Values from the calculation:
**Spin magnetization**: 0.00 μB/f.u.
**Calculated volume**: 26.27 Å³/atom
**Formation energy without anion corrections**: -1772 meV/atom

a b c (Å): 3.406 3.406 13.587
angles (deg): 90.00 90.00 90.00
Space group I4mm (No. 107)
Asymmetric unit:
Tm 0.000 0.000 0.000 x2
S 0.000 0.000 0.407 x2
Cl 0.000 0.000 0.634 x2



14.
VASP calculation (PBE) on a relaxed structure of TmS6Cl2.

Values from the calculation:
**Spin magnetization**: 1.01 μB/f.u.
**Calculated volume**: 29.98 Å³/atom
**Formation energy without anion corrections**: -648 meV/atom

a b c (Å): 4.006 8.102 9.137
angles (deg): 114.20 93.46 90.51
Space group P-1 (No. 2)
Asymmetric unit:
Tm 0.000 0.000 0.000 x1
S 0.102 0.722 0.455 x2
S 0.113 0.495 0.719 x2
S 0.118 0.282 0.294 x2
Cl 0.495 0.144 0.903 x2



15.
VASP calculation (PBE) on a relaxed structure of Tm2SCl.

Values from the calculation:
**Polymorph energy (0 for the lowest one)**: 0.000 eV per atom
**Spin magnetization**: 0.00 μB/f.u.
**Calculated volume**: 28.20 Å³/atom
**Formation energy without anion corrections**: -1525 meV/atom

a b c (Å): 3.7374 3.7374 27.9711
angles (deg): 90.00 90.00 120.00
Space group R3m (No. 160, hexagonal axes)
Asymmetric unit:
Tm 0.0000 0.0000 0.0000 x3
Tm 0.0000 0.0000 0.2233 x3
S 0.0000 0.0000 0.6131 x3
Cl 0.0000 0.0000 0.3934 x3



16.
VASP calculation (PBE) on a relaxed structure of TmS8Cl2.

Values from the calculation:
**Spin magnetization**: 0.00 μB/f.u.
**Calculated volume**: 29.39 Å³/atom
**Formation energy without anion corrections**: -504 meV/atom

a b c (Å): 6.380 7.768 7.835
angles (deg): 63.08 70.14 75.35
Space group P-1 (No. 2)
Asymmetric unit:
Tm 0.000 0.000 0.000 x1
S 0.015 0.819 0.395 x2
S 0.213 0.023 0.261 x2
S 0.427 0.164 0.725 x2
S 0.481 0.427 0.661 x2
Cl 0.279 0.727 0.941 x2



17.
VASP calculation (PBE) on a relaxed structure of Tm2SCl2.

Values from the calculation:
**Spin magnetization**: 0.00 μB/f.u.
**Calculated volume**: 26.38 Å³/atom
**Formation energy without anion corrections**: -1987 meV/atom

a b c (Å): 6.638 3.834 10.651
angles (deg): 90.00 103.31 90.00
Space group C2/m (No. 12)
Asymmetric unit:
Tm 0.218 0.000 0.138 x4
S 0.000 0.500 0.000 x2
Cl 0.057 0.000 0.702 x4



18.
VASP calculation (PBE) on a relaxed structure of TmSCl.

Values from the calculation:
**Spin magnetization**: 0.00 μB/f.u.
**Calculated volume**: 31.63 Å³/atom
**Formation energy without anion corrections**: -2187 meV/atom

a b c (Å): 3.924 5.309 9.206
angles (deg): 90.00 98.31 90.00
Space group P2_1/m (No. 11)
Asymmetric unit:
Tm 0.207 0.250 0.375 x2
S 0.223 0.750 0.419 x2
Cl 0.358 0.750 0.818 x2



19.
VASP calculation (PBE) on a relaxed structure of Tm2S2Cl.

Values from the calculation:
**Spin magnetization**: 0.00 μB/f.u.
**Calculated volume**: 24.06 Å³/atom
**Formation energy without anion corrections**: -2043 meV/atom

a b c (Å): 12.206 5.351 7.827
angles (deg): 90.00 109.74 90.00
Space group C2/m (No. 12)
Asymmetric unit:
Tm 0.007 0.000 0.243 x4
Tm 0.163 0.500 0.074 x4
S 0.007 0.500 0.248 x4
S 0.168 0.000 0.083 x4
Cl 0.157 0.000 0.593 x4



20.
VASP calculation (PBE) on a relaxed structure of TmS5Cl.

Values from the calculation:
**Spin magnetization**: 0.00 μB/f.u.
**Calculated volume**: 29.43 Å³/atom
**Formation energy without anion corrections**: -748 meV/atom

a b c (Å): 4.181 4.524 11.092
angles (deg): 88.66 79.15 89.86
Space group P1 (No. 1)
Asymmetric unit:
Tm 0.000 0.000 0.000 x1
S 0.435 0.256 0.129 x1
S 0.457 0.713 0.087 x1
S 0.660 0.413 0.507 x1
S 0.917 0.072 0.575 x1
S 0.983 0.752 0.440 x1
Cl 0.070 0.487 0.862 x1



21.
VASP calculation (PBE) on a relaxed structure of USCl3.

Values from the calculation:
**Polymorph energy (0 for the lowest one)**: 0.000 eV per atom
**Spin magnetization**: 1.00 μB/f.u.
**Calculated volume**: 35.67 Å³/atom
**Formation energy without anion corrections**: -1467 meV/atom

a b c (Å): 8.023 9.854 9.023
angles (deg): 90.00 90.00 90.00
Space group Imma (No. 74)
Asymmetric unit:
U 0.250 0.250 0.250 x4
S 0.000 0.250 0.074 x4
Cl 0.000 0.250 0.450 x4
Cl 0.250 0.003 0.750 x8



22.
VASP calculation (PBE) on a relaxed structure of U2S3Cl.

Values from the calculation:
**Spin magnetization**: 5.01 μB/f.u.
**Calculated volume**: 26.62 Å³/atom
**Formation energy without anion corrections**: -1361 meV/atom

a b c (Å): 6.501 12.234 4.016
angles (deg): 90.00 90.00 90.00
Space group Pnnm (No. 58)
Asymmetric unit:
U 0.163 0.131 0.000 x4
S 0.000 0.000 0.500 x2
S 0.188 0.750 0.000 x4
Cl 0.000 0.500 0.500 x2



23.
VASP calculation (PBE) on a relaxed structure of US5Cl.

Values from the calculation:
**Spin magnetization**: 1.00 μB/f.u.
**Calculated volume**: 26.17 Å³/atom
**Formation energy without anion corrections**: -519 meV/atom

a b c (Å): 11.635 7.571 9.285
angles (deg): 90.00 116.37 90.00
Space group C2/c (No. 15)
Asymmetric unit:
U 0.000 0.228 0.250 x4
S 0.000 0.459 0.750 x4
S 0.013 0.137 0.956 x8
S 0.179 0.204 0.144 x8
Cl 0.250 0.250 0.500 x4



24.
VASP calculation (PBE) on a relaxed structure of U6S12Cl.

Values from the calculation:
**Spin magnetization**: 11.00 μB/f.u.
**Calculated volume**: 23.78 Å³/atom
**Formation energy without anion corrections**: -1264 meV/atom

a b c (Å): 12.5535 12.5535 9.9328
angles (deg): 90.00 90.00 120.00
Space group R-3m (No. 166, hexagonal axes)
Asymmetric unit:
U 0.0568 0.5284 0.2805 x18
S 0.0000 0.3709 0.5000 x18
S 0.0876 0.1753 0.3643 x18
Cl 0.0000 0.0000 0.0000 x3



25.
VASP calculation (PBE) on a relaxed structure of US6Cl2.

Values from the calculation:
**Spin magnetization**: 0.00 μB/f.u.
**Calculated volume**: 29.65 Å³/atom
**Formation energy without anion corrections**: -582 meV/atom

a b c (Å): 4.647 7.946 7.980
angles (deg): 114.94 91.81 91.55
Space group P1 (No. 1)
Asymmetric unit:
U 0.000 0.000 0.000 x1
S 0.020 0.864 0.631 x1
S 0.021 0.629 0.862 x1
S 0.255 0.301 0.300 x1
S 0.746 0.700 0.699 x1
S 0.980 0.371 0.137 x1
S 0.982 0.137 0.369 x1
Cl 0.500 0.122 0.880 x1
Cl 0.501 0.878 0.120 x1